{
  "formula": "SrMg5",
  "functional": "PBE",
  "state": "optimized geometry",
  "e_tot_ev_per_atom": -1.542,
  "formation_energy_ev_per_atom": 0.0668,
  "total_magnetization_mub_per_cell": 0.00,
  "e_above_lowest_polymorph_mev_per_atom": 109,
  "cell": [[5.835, -2.933, -0.068], [5.835, 2.933, -0.068], [4.418, 0.000, 4.810]],
  "species": ["Mg", "Mg", "Mg", "Mg", "Mg", "Sr"],
  "frac_coords": [[0.168, 0.168, 0.168], [0.832, 0.832, 0.832], [0.317, 0.683, 0.000], [0.000, 0.317, 0.683], [0.683, 0.000, 0.317], [0.500, 0.500, 0.500]]
}